1.
An optimized crystal structure of RbHg2Sb. Source: Alexandria via LeMat-Bulk, functional PBE.

## Properties
total DFT energy (no corrections)	-52.9	eV/cell
density	7.42	g cm⁻³
DOS(E_F)	8.0	states/eV/cell

Cell and atoms, written as CIF:
```
data_RbHg2Sb
_symmetry_space_group_name_H-M 'C m c m'
_symmetry_Int_Tables_number 63
_symmetry_space_group_name_Hall '-C 2c 2'
_cell_length_a 5.325
_cell_length_b 20.009
_cell_length_c 10.223
_cell_angle_alpha 90.00
_cell_angle_beta 90.00
_cell_angle_gamma 90.00
loop_
_atom_site_label
_atom_site_fract_x
_atom_site_fract_y
_atom_site_fract_z
Rb1 0.000 0.000 0.000
Rb2 0.000 0.206 0.250
Hg1 0.000 0.196 0.608
Hg2 0.000 0.418 0.250
Hg3 0.000 0.436 0.750
Sb1 0.000 0.352 0.506
```

***

2.
An optimized crystal structure of CeHfZnTc. Source: Alexandria via LeMat-Bulk, functional PBE.

## Properties
total DFT energy (no corrections)	-112.1	eV/cell
density	10.10	g cm⁻³
DOS(E_F)	16.4	states/eV/cell

Cell and atoms, written as CIF:
```
data_CeHfZnTc
_symmetry_space_group_name_H-M 'F -4 3 m'
_symmetry_Int_Tables_number 216
_symmetry_space_group_name_Hall 'F -4 2 3'
_cell_length_a 6.819
_cell_length_b 6.819
_cell_length_c 6.819
_cell_angle_alpha 90.00
_cell_angle_beta 90.00
_cell_angle_gamma 90.00
loop_
_atom_site_label
_atom_site_fract_x
_atom_site_fract_y
_atom_site_fract_z
Ce1 0.000 0.000 0.000
Hf1 0.000 0.000 0.500
Zn1 0.250 0.250 0.250
Tc1 0.250 0.250 0.750
```

***

3.
An optimized crystal structure of Pm4Dy2Th. Source: Alexandria via LeMat-Bulk, functional PBE.

## Properties
total DFT energy (no corrections)	-134.2	eV/cell
density	7.90	g cm⁻³
DOS(E_F)	48.4	states/eV/cell
offset from the most stable computed form	260	meV per atom

Cell and atoms, written as CIF:
```
data_Pm4Dy2Th
_symmetry_space_group_name_H-M 'I m m a'
_symmetry_Int_Tables_number 74
_symmetry_space_group_name_Hall '-I 2b 2'
_cell_length_a 6.763
_cell_length_b 11.598
_cell_length_c 12.188
_cell_angle_alpha 90.00
_cell_angle_beta 90.00
_cell_angle_gamma 90.00
loop_
_atom_site_label
_atom_site_fract_x
_atom_site_fract_y
_atom_site_fract_z
Pm1 0.000 0.004 0.152
Pm2 0.224 0.250 0.988
Dy1 0.000 0.000 0.500
Dy2 0.000 0.250 0.721
Th1 0.250 0.250 0.250
```

***

4.
An optimized crystal structure of PrZn8Ir2. Source: Alexandria via LeMat-Bulk, functional PBE.

## Properties
total DFT energy (no corrections)	-32.0	eV/cell
density	8.22	g cm⁻³
DOS(E_F)	4.8	states/eV/cell

Cell and atoms, written as CIF:
```
data_PrZn8Ir2
_symmetry_space_group_name_H-M 'P 4/m m m'
_symmetry_Int_Tables_number 123
_symmetry_space_group_name_Hall '-P 4 2'
_cell_length_a 6.351
_cell_length_b 6.351
_cell_length_c 5.248
_cell_angle_alpha 90.00
_cell_angle_beta 90.00
_cell_angle_gamma 90.00
loop_
_atom_site_label
_atom_site_fract_x
_atom_site_fract_y
_atom_site_fract_z
Pr1 0.000 0.000 0.000
Zn1 0.294 0.294 0.257
Ir1 0.000 0.500 0.500
```

***

5.
An optimized crystal structure of Mn3CoGe. Source: Alexandria via LeMat-Bulk, functional PBE.

## Properties
total DFT energy (no corrections)	-31.4	eV/cell
density	6.25	g cm⁻³
DOS(E_F)	10.3	states/eV/cell
offset from the most stable computed form	736	meV per atom

Cell and atoms, written as CIF:
```
data_Mn3CoGe
_symmetry_space_group_name_H-M 'P m -3 m'
_symmetry_Int_Tables_number 221
_symmetry_space_group_name_Hall '-P 4 2 3'
_cell_length_a 4.287
_cell_length_b 4.287
_cell_length_c 4.287
_cell_angle_alpha 90.00
_cell_angle_beta 90.00
_cell_angle_gamma 90.00
loop_
_atom_site_label
_atom_site_fract_x
_atom_site_fract_y
_atom_site_fract_z
Mn1 0.000 0.000 0.500
Co1 0.500 0.500 0.500
Ge1 0.000 0.000 0.000
```

***

6.
An optimized crystal structure of Tb6Bi3Os. Source: Alexandria via LeMat-Bulk, functional PBE.

## Properties
total DFT energy (no corrections)	-111.5	eV/cell
density	9.59	g cm⁻³
DOS(E_F)	13.7	states/eV/cell

Cell and atoms, written as CIF:
```
data_Tb6Bi3Os
_symmetry_space_group_name_H-M 'P 1 21/c 1'
_symmetry_Int_Tables_number 14
_cell_length_a 6.502
_cell_length_b 8.523
_cell_length_c 12.724
_cell_angle_alpha 90.00
_cell_angle_beta 119.60
_cell_angle_gamma 90.00
loop_
_symmetry_equiv_pos_as_xyz
'x,y,z'
'-x,-y,-z'
'-x,y+1/2,-z+1/2'
'x,-y+1/2,z+1/2'
loop_
_atom_site_label
_atom_site_fract_x
_atom_site_fract_y
_atom_site_fract_z
Tb1 0.059 0.201 0.440
Tb2 0.297 0.655 0.435
Tb3 0.366 0.038 0.229
Bi1 0.154 0.118 0.737
Bi2 0.500 0.000 0.500
Os1 0.000 0.000 0.000
```

***

7.
An optimized crystal structure of P4Rh. Source: Alexandria via LeMat-Bulk, functional PBE.

## Properties
total DFT energy (no corrections)	-24.4	eV/cell
density	3.95	g cm⁻³
DOS(E_F)	5.0	states/eV/cell

Cell and atoms, written as CIF:
```
data_P4Rh
_symmetry_space_group_name_H-M 'P m -3 m'
_symmetry_Int_Tables_number 221
_symmetry_space_group_name_Hall '-P 4 2 3'
_cell_length_a 4.567
_cell_length_b 4.567
_cell_length_c 4.567
_cell_angle_alpha 90.00
_cell_angle_beta 90.00
_cell_angle_gamma 90.00
loop_
_atom_site_label
_atom_site_fract_x
_atom_site_fract_y
_atom_site_fract_z
P1 0.000 0.000 0.000
P2 0.000 0.500 0.500
Rh1 0.500 0.500 0.500
```

***

8.
An optimized crystal structure of BIrPd2Pb. Source: Alexandria via LeMat-Bulk, functional PBE.

## Properties
total DFT energy (no corrections)	-29.7	eV/cell
density	13.02	g cm⁻³
DOS(E_F)	3.9	states/eV/cell

Cell and atoms, written as CIF:
```
data_BIrPd2Pb
_symmetry_space_group_name_H-M 'P 4/m m m'
_symmetry_Int_Tables_number 123
_symmetry_space_group_name_Hall '-P 4 2'
_cell_length_a 4.367
_cell_length_b 4.367
_cell_length_c 4.168
_cell_angle_alpha 90.00
_cell_angle_beta 90.00
_cell_angle_gamma 90.00
loop_
_atom_site_label
_atom_site_fract_x
_atom_site_fract_y
_atom_site_fract_z
B1 0.000 0.000 0.000
Ir1 0.000 0.000 0.500
Pd1 0.000 0.500 0.000
Pb1 0.500 0.500 0.500
```

***

9.
An optimized crystal structure of AsPtS2. Source: Alexandria via LeMat-Bulk, functional PBE.

## Properties
total DFT energy (no corrections)	-56.4	eV/cell
density	6.67	g cm⁻³
DOS(E_F)	5.9	states/eV/cell

Cell and atoms, written as CIF:
```
data_AsPtS2
_symmetry_space_group_name_H-M 'R -3 m'
_symmetry_Int_Tables_number 166
_symmetry_space_group_name_Hall '-R 3 2"'
_cell_length_a 3.5602
_cell_length_b 3.5602
_cell_length_c 22.7303
_cell_angle_alpha 90.00
_cell_angle_beta 90.00
_cell_angle_gamma 120.00
loop_
_atom_site_label
_atom_site_fract_x
_atom_site_fract_y
_atom_site_fract_z
As1 0.0000 0.0000 0.0000
Pt1 0.0000 0.0000 0.5000
S1 0.0000 0.0000 0.1106
```

***

10.
An optimized crystal structure of Ge2TeI. Source: Alexandria via LeMat-Bulk, functional PBE.

## Properties
total DFT energy (no corrections)	-52.3	eV/cell
density	5.35	g cm⁻³
DOS(E_F)	7.3	states/eV/cell
offset from the most stable computed form	59	meV per atom

Cell and atoms, written as CIF:
```
data_Ge2TeI
_symmetry_space_group_name_H-M 'I -4 2 d'
_symmetry_Int_Tables_number 122
_symmetry_space_group_name_Hall 'I -4 2bw'
_cell_length_a 7.978
_cell_length_b 7.978
_cell_length_c 7.792
_cell_angle_alpha 90.00
_cell_angle_beta 90.00
_cell_angle_gamma 90.00
loop_
_atom_site_label
_atom_site_fract_x
_atom_site_fract_y
_atom_site_fract_z
Ge1 0.227 0.250 0.125
Te1 0.000 0.000 0.000
I1 0.000 0.000 0.500
```

***

11.
An optimized crystal structure of NaGeH. Source: Alexandria via LeMat-Bulk, functional PBE.

## Properties
total DFT energy (no corrections)	-19.3	eV/cell
density	3.00	g cm⁻³
DOS(E_F)	0.0	states/eV/cell
offset from the most stable computed form	0	meV per atom

Cell and atoms, written as CIF:
```
data_NaGeH
_symmetry_space_group_name_H-M 'P 1 21/m 1'
_symmetry_Int_Tables_number 11
_cell_length_a 4.739
_cell_length_b 4.057
_cell_length_c 6.037
_cell_angle_alpha 90.00
_cell_angle_beta 112.79
_cell_angle_gamma 90.00
loop_
_symmetry_equiv_pos_as_xyz
'x,y,z'
'-x,-y,-z'
'-x,y+1/2,-z'
'x,-y+1/2,z'
loop_
_atom_site_label
_atom_site_fract_x
_atom_site_fract_y
_atom_site_fract_z
Na1 0.113 0.250 0.299
Ge1 0.442 0.250 0.853
H1 0.209 0.750 0.140
```

***

12.
An optimized crystal structure of LiHo3C. Source: Alexandria via LeMat-Bulk, functional PBE.

## Properties
total DFT energy (no corrections)	-25.2	eV/cell
density	7.08	g cm⁻³
DOS(E_F)	6.0	states/eV/cell

Cell and atoms, written as CIF:
```
data_LiHo3C
_symmetry_space_group_name_H-M 'P m -3 m'
_symmetry_Int_Tables_number 221
_symmetry_space_group_name_Hall '-P 4 2 3'
_cell_length_a 4.939
_cell_length_b 4.939
_cell_length_c 4.939
_cell_angle_alpha 90.00
_cell_angle_beta 90.00
_cell_angle_gamma 90.00
loop_
_atom_site_label
_atom_site_fract_x
_atom_site_fract_y
_atom_site_fract_z
Li1 0.000 0.000 0.000
Ho1 0.000 0.500 0.500
C1 0.500 0.500 0.500
```

***

13.
An optimized crystal structure of Hf2GeB. Source: Alexandria via LeMat-Bulk, functional PBE.

## Properties
total DFT energy (no corrections)	-122.8	eV/cell
density	11.18	g cm⁻³
DOS(E_F)	25.5	states/eV/cell
offset from the most stable computed form	702	meV per atom

Cell and atoms, written as CIF:
```
data_Hf2GeB
_symmetry_space_group_name_H-M 'F m -3 m'
_symmetry_Int_Tables_number 225
_symmetry_space_group_name_Hall '-F 4 2 3'
_cell_length_a 6.395
_cell_length_b 6.395
_cell_length_c 6.395
_cell_angle_alpha 90.00
_cell_angle_beta 90.00
_cell_angle_gamma 90.00
loop_
_atom_site_label
_atom_site_fract_x
_atom_site_fract_y
_atom_site_fract_z
Hf1 0.250 0.250 0.250
Ge1 0.000 0.000 0.000
B1 0.000 0.000 0.500
```

***

14.
An optimized crystal structure of YAl3AgPd. Source: Alexandria via LeMat-Bulk, functional PBE.

## Properties
total DFT energy (no corrections)	-112.9	eV/cell
density	5.54	g cm⁻³
DOS(E_F)	8.2	states/eV/cell

Cell and atoms, written as CIF:
```
data_YAl3AgPd
_symmetry_space_group_name_H-M 'C m c m'
_symmetry_Int_Tables_number 63
_symmetry_space_group_name_Hall '-C 2c 2'
_cell_length_a 5.978
_cell_length_b 12.994
_cell_length_c 5.929
_cell_angle_alpha 90.00
_cell_angle_beta 90.00
_cell_angle_gamma 90.00
loop_
_atom_site_label
_atom_site_fract_x
_atom_site_fract_y
_atom_site_fract_z
Y1 0.000 0.202 0.250
Al1 0.000 0.368 0.750
Al2 0.217 0.000 0.000
Ag1 0.000 0.158 0.750
Pd1 0.000 0.412 0.250
```

***

15.
An optimized crystal structure of CaLaSc2. Source: Alexandria via LeMat-Bulk, functional PBE.

## Properties
total DFT energy (no corrections)	-75.3	eV/cell
density	3.62	g cm⁻³
DOS(E_F)	26.4	states/eV/cell
offset from the most stable computed form	79	meV per atom

Cell and atoms, written as CIF:
```
data_CaLaSc2
_symmetry_space_group_name_H-M 'F -4 3 m'
_symmetry_Int_Tables_number 216
_symmetry_space_group_name_Hall 'F -4 2 3'
_cell_length_a 7.903
_cell_length_b 7.903
_cell_length_c 7.903
_cell_angle_alpha 90.00
_cell_angle_beta 90.00
_cell_angle_gamma 90.00
loop_
_atom_site_label
_atom_site_fract_x
_atom_site_fract_y
_atom_site_fract_z
Ca1 0.000 0.000 0.000
La1 0.250 0.250 0.250
Sc1 0.000 0.000 0.500
Sc2 0.250 0.250 0.750
```

***

16.
An optimized crystal structure of PrIn2Ag. Source: Alexandria via LeMat-Bulk, functional PBE.

## Properties
total DFT energy (no corrections)	-14.5	eV/cell
density	7.82	g cm⁻³
DOS(E_F)	3.1	states/eV/cell

Cell and atoms, written as CIF:
```
data_PrIn2Ag
_symmetry_space_group_name_H-M 'P 4/m m m'
_symmetry_Int_Tables_number 123
_symmetry_space_group_name_Hall '-P 4 2'
_cell_length_a 4.719
_cell_length_b 4.719
_cell_length_c 4.559
_cell_angle_alpha 90.00
_cell_angle_beta 90.00
_cell_angle_gamma 90.00
loop_
_atom_site_label
_atom_site_fract_x
_atom_site_fract_y
_atom_site_fract_z
Pr1 0.000 0.000 0.000
In1 0.000 0.500 0.500
Ag1 0.500 0.500 0.000
```

***

17.
An optimized crystal structure of Li2ScCl. Source: Alexandria via LeMat-Bulk, functional PBE.

## Properties
total DFT energy (no corrections)	-14.0	eV/cell
density	1.67	g cm⁻³
DOS(E_F)	2.7	states/eV/cell
offset from the most stable computed form	168	meV per atom

Cell and atoms, written as CIF:
```
data_Li2ScCl
_symmetry_space_group_name_H-M 'P 4 m m'
_symmetry_Int_Tables_number 99
_cell_length_a 3.203
_cell_length_b 3.203
_cell_length_c 9.124
_cell_angle_alpha 90.00
_cell_angle_beta 90.00
_cell_angle_gamma 90.00
loop_
_symmetry_equiv_pos_as_xyz
'x,y,z'
'-y,x,z'
'-x,-y,z'
'y,-x,z'
'-x,y,z'
'y,x,z'
'x,-y,z'
'-y,-x,z'
loop_
_atom_site_label
_atom_site_fract_x
_atom_site_fract_y
_atom_site_fract_z
Li1 0.000 0.000 0.000
Li2 0.500 0.500 0.228
Sc1 0.000 0.000 0.487
Cl1 0.500 0.500 0.648
```

***

18.
An optimized crystal structure of PrNd3Au3. Source: Alexandria via LeMat-Bulk, functional PBE.

## Properties
total DFT energy (no corrections)	-131.9	eV/cell
density	9.54	g cm⁻³
DOS(E_F)	25.9	states/eV/cell

Cell and atoms, written as CIF:
```
data_PrNd3Au3
_symmetry_space_group_name_H-M 'C 1 2/m 1'
_symmetry_Int_Tables_number 12
_cell_length_a 9.827
_cell_length_b 11.099
_cell_length_c 7.434
_cell_angle_alpha 90.00
_cell_angle_beta 91.17
_cell_angle_gamma 90.00
loop_
_symmetry_equiv_pos_as_xyz
'x,y,z'
'-x,-y,-z'
'-x,y,-z'
'x,-y,z'
'x+1/2,y+1/2,z'
'-x+1/2,-y+1/2,-z'
'-x+1/2,y+1/2,-z'
'x+1/2,-y+1/2,z'
loop_
_atom_site_label
_atom_site_fract_x
_atom_site_fract_y
_atom_site_fract_z
Pr1 0.242 0.000 0.365
Nd1 0.000 0.249 0.500
Nd2 0.000 0.322 0.000
Nd3 0.143 0.000 0.862
Au1 0.067 0.500 0.309
Au2 0.244 0.253 0.230
```

***

19.
An optimized crystal structure of Ti3TcPb. Source: Alexandria via LeMat-Bulk, functional PBE.

## Properties
total DFT energy (no corrections)	-35.9	eV/cell
density	6.95	g cm⁻³
DOS(E_F)	5.0	states/eV/cell
offset from the most stable computed form	0	meV per atom

Cell and atoms, written as CIF:
```
data_Ti3TcPb
_symmetry_space_group_name_H-M 'P m -3 m'
_symmetry_Int_Tables_number 221
_symmetry_space_group_name_Hall '-P 4 2 3'
_cell_length_a 4.750
_cell_length_b 4.750
_cell_length_c 4.750
_cell_angle_alpha 90.00
_cell_angle_beta 90.00
_cell_angle_gamma 90.00
loop_
_atom_site_label
_atom_site_fract_x
_atom_site_fract_y
_atom_site_fract_z
Ti1 0.000 0.000 0.500
Tc1 0.000 0.000 0.000
Pb1 0.500 0.500 0.500
```

***

20.
An optimized crystal structure of Li3CdAu. Source: Alexandria via LeMat-Bulk, functional PBE.

## Properties
total DFT energy (no corrections)	-45.5	eV/cell
density	5.80	g cm⁻³
DOS(E_F)	8.8	states/eV/cell
offset from the most stable computed form	77	meV per atom

Cell and atoms, written as CIF:
```
data_Li3CdAu
_symmetry_space_group_name_H-M 'C 1 2/m 1'
_symmetry_Int_Tables_number 12
_cell_length_a 9.780
_cell_length_b 4.565
_cell_length_c 8.477
_cell_angle_alpha 90.00
_cell_angle_beta 91.23
_cell_angle_gamma 90.00
loop_
_symmetry_equiv_pos_as_xyz
'x,y,z'
'-x,-y,-z'
'-x,y,-z'
'x,-y,z'
'x+1/2,y+1/2,z'
'-x+1/2,-y+1/2,-z'
'-x+1/2,y+1/2,-z'
'x+1/2,-y+1/2,z'
loop_
_atom_site_label
_atom_site_fract_x
_atom_site_fract_y
_atom_site_fract_z
Li1 0.057 0.000 0.355
Li2 0.130 0.000 0.922
Li3 0.167 0.500 0.717
Cd1 0.092 0.500 0.128
Au1 0.243 0.000 0.601
```